Entry 1:
# Zn3Os | the Open Quantum Materials Database | PBE | relaxed
# formation energy	0.10	eV per atom
# space-group type	Pmmn, No. 59
# spin magnetization	0.000	μB/atom
# total DFT energy (no corrections)	-29.2	eV for the cell shown
data_Zn3Os
_space_group_name_H-M_alt 'P 1'
_space_group_IT_number 1
_space_group_name_Hall 'P 1'
_cell_length_a 4.3104
_cell_length_b 5.2393
_cell_length_c 4.8887
_cell_angle_alpha 90.00
_cell_angle_beta 90.00
_cell_angle_gamma 90.00
loop_
_atom_site_label
_atom_site_type_symbol
_atom_site_fract_x
_atom_site_fract_y
_atom_site_fract_z
Zn1 Zn 0.2500 0.0007 0.1557
Zn2 Zn 0.2500 0.4993 0.1557
Zn3 Zn 0.2500 0.7500 0.6588
Zn4 Zn 0.7500 0.2500 0.3412
Zn5 Zn 0.7500 0.5007 0.8443
Zn6 Zn 0.7500 0.9993 0.8443
Os1 Os 0.2500 0.2500 0.6522
Os2 Os 0.7500 0.7500 0.3478

Entry 2:
# NdAsOsO | the Open Quantum Materials Database | PBE | relaxed
# space-group type	Pmc2_1, No. 26
# spin magnetization	0.004	μB/atom
# total DFT energy (no corrections)	-60.0	eV for the cell shown
data_NdAsOsO
_space_group_name_H-M_alt 'P 1'
_space_group_IT_number 1
_space_group_name_Hall 'P 1'
_cell_length_a 4.2639
_cell_length_b 4.2752
_cell_length_c 7.4240
_cell_angle_alpha 90.00
_cell_angle_beta 90.00
_cell_angle_gamma 90.00
loop_
_atom_site_label
_atom_site_type_symbol
_atom_site_fract_x
_atom_site_fract_y
_atom_site_fract_z
Nd1 Nd 0.0000 0.2493 0.0000
Nd2 Nd 0.0000 0.7507 0.5000
As1 As 0.5000 0.2534 0.6676
As2 As 0.5000 0.7466 0.1676
Os1 Os 0.5000 0.2436 0.3348
Os2 Os 0.5000 0.7564 0.8348
O1 O 0.0000 0.2550 0.3326
O2 O 0.0000 0.7450 0.8326

Entry 3:
# BaDy2S4 | the Open Quantum Materials Database | PBE | relaxed
# space-group type	Pnma, No. 62
# spin magnetization	0.000	μB/atom
# total DFT energy (no corrections)	-170.5	eV for the cell shown
data_BaDy2S4
_space_group_name_H-M_alt 'P 1'
_space_group_IT_number 1
_space_group_name_Hall 'P 1'
_cell_length_a 12.3177
_cell_length_b 4.0515
_cell_length_c 14.5675
_cell_angle_alpha 90.00
_cell_angle_beta 90.00
_cell_angle_gamma 90.00
loop_
_atom_site_label
_atom_site_type_symbol
_atom_site_fract_x
_atom_site_fract_y
_atom_site_fract_z
Ba1 Ba 0.2410 0.2500 0.1623
Ba2 Ba 0.2590 0.7500 0.6623
Ba3 Ba 0.7410 0.2500 0.3377
Ba4 Ba 0.7590 0.7500 0.8377
Dy1 Dy 0.0654 0.2500 0.3913
Dy2 Dy 0.0801 0.2500 0.8987
Dy3 Dy 0.4199 0.7500 0.3987
Dy4 Dy 0.4346 0.7500 0.8913
Dy5 Dy 0.5654 0.2500 0.1087
Dy6 Dy 0.5801 0.2500 0.6013
Dy7 Dy 0.9199 0.7500 0.1013
Dy8 Dy 0.9346 0.7500 0.6087
S1 S 0.0249 0.7500 0.7830
S2 S 0.0826 0.2500 0.5766
S3 S 0.1236 0.7500 0.0243
S4 S 0.2057 0.7500 0.3372
S5 S 0.2943 0.2500 0.8372
S6 S 0.3764 0.2500 0.5243
S7 S 0.4174 0.7500 0.0766
S8 S 0.4751 0.2500 0.2830
S9 S 0.5249 0.7500 0.7170
S10 S 0.5826 0.2500 0.9234
S11 S 0.6236 0.7500 0.4757
S12 S 0.7057 0.7500 0.1628
S13 S 0.7943 0.2500 0.6628
S14 S 0.8764 0.2500 0.9757
S15 S 0.9174 0.7500 0.4234
S16 S 0.9751 0.2500 0.2170

Number 1: ρ 11.6 g/cm³. Number 2: ρ 10.4 g/cm³. Number 3: ρ 5.4 g/cm³.